No. 1
DFT (PBE) results for crystalline Cu8W at its relaxed geometry.

Lattice parameters (Å, degrees): 9.1077 9.1077 2.7203 90.00 90.00 90.00
Space group I4/mmm (No. 139)
Symmetry-distinct sites (fractional):
Cu1 0.0000 0.3332 0.0000 [8 per cell]
Cu2 0.1718 0.1718 0.5000 [8 per cell]
W1 0.0000 0.0000 0.0000 [2 per cell]

Computed properties:
- Magnetic moment: 0.0 μB/cell
- Energy relative to the elements: 192 meV/atom
- Electronic total energy: -4.89 eV/atom

---

No. 2
DFT (PBE) results for crystalline CuW3 at its relaxed geometry.

Lattice parameters (Å, degrees): 3.9294 3.9294 3.9294 90.00 90.00 90.00
Space group Pm-3m (No. 221)
Symmetry-distinct sites (fractional):
Cu1 0.0000 0.0000 0.0000 [1 per cell]
W1 0.0000 0.5000 0.5000 [3 per cell]

Computed properties:
- Magnetic moment: 0.0 μB/cell
- Energy relative to the elements: 281 meV/atom
- Electronic total energy: -10.46 eV/atom

---

No. 3
DFT (PBE) results for crystalline CuW at its relaxed geometry.

Lattice parameters (Å, degrees): 3.8774 3.8774 5.0914 90.00 90.00 120.00
Space group P6_3/mmc (No. 194)
Symmetry-distinct sites (fractional):
Cu1 0.3333 0.6667 0.2500 [2 per cell]
W1 0.0000 0.0000 0.0000 [2 per cell]

Computed properties:
- Magnetic moment: 0.0 μB/cell
- Energy relative to the elements: 1239 meV/atom
- Electronic total energy: -7.29 eV/atom

---

No. 4
DFT (PBE) results for crystalline CuW at its relaxed geometry.

Lattice parameters (Å, degrees): 3.7074 3.7822 4.0360 90.00 90.00 90.00
Space group Cmmm (No. 65)
Symmetry-distinct sites (fractional):
Cu1 0.0000 0.0000 0.0000 [2 per cell]
W1 0.0000 0.5000 0.5000 [2 per cell]

Computed properties:
- Magnetic moment: 0.0 μB/cell
- Energy relative to the elements: 382 meV/atom
- Electronic total energy: -8.14 eV/atom

---

No. 5
DFT (PBE) results for crystalline CuW3 at its relaxed geometry.

Lattice parameters (Å, degrees): 4.0986 4.0986 7.2990 90.00 90.00 90.00
Space group I4/mmm (No. 139)
Symmetry-distinct sites (fractional):
Cu1 0.0000 0.0000 0.0000 [2 per cell]
W1 0.0000 0.0000 0.5000 [2 per cell]
W2 0.0000 0.5000 0.2500 [4 per cell]

Computed properties:
- Magnetic moment: 0.0 μB/cell
- Energy relative to the elements: 359 meV/atom
- Electronic total energy: -10.38 eV/atom

---

No. 6
DFT (PBE) results for crystalline Cu3W5 at its relaxed geometry.

Lattice parameters (Å, degrees): 7.7143 8.0295 3.8004 90.00 90.00 90.00
Space group Cmmm (No. 65)
Symmetry-distinct sites (fractional):
Cu1 0.0000 0.0000 0.0000 [2 per cell]
Cu2 0.2463 0.0000 0.5000 [4 per cell]
W1 0.0000 0.2473 0.5000 [4 per cell]
W2 0.0000 0.5000 0.0000 [2 per cell]
W3 0.2500 0.2500 0.0000 [4 per cell]

Computed properties:
- Magnetic moment: 0.0 μB/cell
- Energy relative to the elements: 342 meV/atom
- Electronic total energy: -9.29 eV/atom

---

No. 7
DFT (PBE) results for crystalline CuW4 at its relaxed geometry.

Lattice parameters (Å, degrees): 4.4598 4.4598 4.4598 90.00 90.00 90.00
Space group Pm-3m (No. 221)
Symmetry-distinct sites (fractional):
Cu1 0.0000 0.0000 0.0000 [1 per cell]
W1 0.0000 0.0000 0.5000 [3 per cell]
W2 0.5000 0.5000 0.5000 [1 per cell]

Computed properties:
- Magnetic moment: 0.0 μB/cell
- Energy relative to the elements: 1907 meV/atom
- Electronic total energy: -9.28 eV/atom

---

No. 8
DFT (PBE) results for crystalline CuW at its relaxed geometry.

Lattice parameters (Å, degrees): 2.6295 3.9833 5.4996 90.00 90.00 90.00
Space group Pmmn (No. 59, origin choice 2)
Symmetry-distinct sites (fractional):
Cu1 0.2500 0.2500 0.1105 [2 per cell]
W1 0.2500 0.2500 0.6295 [2 per cell]

Computed properties:
- Magnetic moment: 0.0 μB/cell
- Energy relative to the elements: 329 meV/atom
- Electronic total energy: -8.20 eV/atom

---

No. 9
DFT (PBE) results for crystalline Cu5W4 at its relaxed geometry.

Lattice parameters (Å, degrees): 8.8400 8.8400 3.2798 90.00 90.00 90.00
Space group I4/mmm (No. 139)
Symmetry-distinct sites (fractional):
Cu1 0.0000 0.0000 0.0000 [2 per cell]
Cu2 0.1668 0.1668 0.5000 [8 per cell]
W1 0.0000 0.3323 0.0000 [8 per cell]

Computed properties:
- Magnetic moment: 0.0 μB/cell
- Energy relative to the elements: 338 meV/atom
- Electronic total energy: -7.69 eV/atom

---

No. 10
DFT (PBE) results for crystalline CuW at its relaxed geometry.

Lattice parameters (Å, degrees): 3.7024 11.8144 3.8724 90.00 90.00 90.00
Space group Cmmm (No. 65)
Symmetry-distinct sites (fractional):
Cu1 0.0000 0.0000 0.0000 [2 per cell]
Cu2 0.0000 0.1691 0.5000 [4 per cell]
W1 0.0000 0.3346 0.0000 [4 per cell]
W2 0.0000 0.5000 0.5000 [2 per cell]

Computed properties:
- Magnetic moment: 0.0 μB/cell
- Energy relative to the elements: 387 meV/atom
- Electronic total energy: -8.14 eV/atom

---

No. 11
DFT (PBE) results for crystalline CuW3 at its relaxed geometry.

Lattice parameters (Å, degrees): 4.4966 5.5005 4.9491 90.00 90.00 90.00
Space group Pmmn (No. 59, origin choice 2)
Symmetry-distinct sites (fractional):
Cu1 0.2500 0.2500 0.1658 [2 per cell]
W1 0.2500 0.0119 0.6583 [4 per cell]
W2 0.2500 0.7500 0.1506 [2 per cell]

Computed properties:
- Magnetic moment: 0.0 μB/cell
- Energy relative to the elements: 360 meV/atom
- Electronic total energy: -10.38 eV/atom

---

No. 12
DFT (PBE) results for crystalline CuW at its relaxed geometry.

Lattice parameters (Å, degrees): 2.7144 2.7144 4.5428 90.00 90.00 120.00
Space group P-6m2 (No. 187)
Symmetry-distinct sites (fractional):
Cu1 0.0000 0.0000 0.0000 [1 per cell]
W1 0.3333 0.6667 0.5000 [1 per cell]

Computed properties:
- Magnetic moment: 0.0 μB/cell
- Energy relative to the elements: 433 meV/atom
- Electronic total energy: -8.09 eV/atom

---

No. 13
DFT (PBE) results for crystalline CuW at its relaxed geometry.

Lattice parameters (Å, degrees): 4.9802 4.9802 4.9802 90.00 90.00 90.00
Space group Fm-3m (No. 225)
Symmetry-distinct sites (fractional):
Cu1 0.0000 0.0000 0.0000 [4 per cell]
W1 0.0000 0.0000 0.5000 [4 per cell]

Computed properties:
- Magnetic moment: 0.0 μB/cell
- Energy relative to the elements: 1280 meV/atom
- Electronic total energy: -7.24 eV/atom

---

No. 14
DFT (PBE) results for crystalline CuW at its relaxed geometry.

Lattice parameters (Å, degrees): 7.8171 7.8171 7.8171 90.00 90.00 90.00
Space group I-43m (No. 217)
Symmetry-distinct sites (fractional):
Cu1 0.1978 0.1978 0.1978 [8 per cell]
W1 0.1146 0.1146 0.8854 [8 per cell]

Computed properties:
- Magnetic moment: 0.0 μB/cell
- Energy relative to the elements: 1847 meV/atom
- Electronic total energy: -6.68 eV/atom

---

No. 15
DFT (PBE) results for crystalline CuW at its relaxed geometry.

Lattice parameters (Å, degrees): 3.7938 3.7938 7.9110 90.00 90.00 90.00
Space group I4_1/amd (No. 141, origin choice 2)
Symmetry-distinct sites (fractional):
Cu1 0.0000 0.2500 0.3750 [4 per cell]
W1 0.0000 0.2500 0.8750 [4 per cell]

Computed properties:
- Magnetic moment: 0.0 μB/cell
- Energy relative to the elements: 395 meV/atom
- Electronic total energy: -8.13 eV/atom

---

No. 16
DFT (PBE) results for crystalline CuW at its relaxed geometry.

Lattice parameters (Å, degrees): 3.2045 4.2616 8.4487 90.00 90.00 90.00
Space group Cmme (No. 67)
Symmetry-distinct sites (fractional):
Cu1 0.0000 0.2500 0.1144 [4 per cell]
W1 0.0000 0.2500 0.6347 [4 per cell]

Computed properties:
- Magnetic moment: 0.0 μB/cell
- Energy relative to the elements: 219 meV/atom
- Electronic total energy: -8.31 eV/atom

---

No. 17
DFT (PBE) results for crystalline CuW at its relaxed geometry.

Lattice parameters (Å, degrees): 4.1695 4.1695 4.9314 90.00 90.00 120.00
Space group P6_3/mmc (No. 194)
Symmetry-distinct sites (fractional):
Cu1 0.3333 0.6667 0.2500 [2 per cell]
W1 0.3333 0.6667 0.7500 [2 per cell]

Computed properties:
- Magnetic moment: 0.0 μB/cell
- Energy relative to the elements: 1801 meV/atom
- Electronic total energy: -6.72 eV/atom

---

No. 18
DFT (PBE) results for crystalline CuW3 at its relaxed geometry.

Lattice parameters (Å, degrees): 2.6848 4.4820 5.1775 90.00 98.46 90.00
Space group P2/m (No. 10)
Symmetry-distinct sites (fractional):
Cu1 0.0000 0.0000 0.0000 [1 per cell]
W1 0.2413 0.5000 0.7517 [2 per cell]
W2 0.5000 0.0000 0.5000 [1 per cell]

Computed properties:
- Magnetic moment: 0.0 μB/cell
- Energy relative to the elements: 274 meV/atom
- Electronic total energy: -10.46 eV/atom

---

No. 19
DFT (PBE) results for crystalline CuW at its relaxed geometry.

Lattice parameters (Å, degrees): 6.6778 6.6778 6.6778 90.00 90.00 90.00
Space group Pm-3n (No. 223)
Symmetry-distinct sites (fractional):
Cu1 0.0000 0.2500 0.5000 [6 per cell]
W1 0.0000 0.5000 0.2500 [6 per cell]

Computed properties:
- Magnetic moment: 0.0 μB/cell
- Energy relative to the elements: 2460 meV/atom
- Electronic total energy: -6.07 eV/atom

---

No. 20
DFT (PBE) results for crystalline CuW at its relaxed geometry.

Lattice parameters (Å, degrees): 2.6927 2.6927 7.8012 90.00 90.00 90.00
Space group P4/nmm (No. 129, origin choice 2)
Symmetry-distinct sites (fractional):
Cu1 0.2500 0.2500 0.1080 [2 per cell]
W1 0.2500 0.2500 0.6476 [2 per cell]

Computed properties:
- Magnetic moment: 0.0 μB/cell
- Energy relative to the elements: 264 meV/atom
- Electronic total energy: -8.26 eV/atom